{
  "formula": "La4ZnIr",
  "functional": "PBE",
  "state": "optimized geometry",
  "m_tot_mub_per_fu": 0.000,
  "crystal_system": "monoclinic",
  "final_energy_ev_per_atom": -5.303,
  "density_g_cm3": 6.75,
  "dos_ef_per_ev_atom": 1.3116,
  "lattice": [[4.656, -7.591, 0.000], [4.656, 7.591, 0.000], [-4.323, 0.000, 5.658]],
  "species": ["La", "La", "La", "La", "La", "La", "La", "La", "Zn", "Zn", "Ir", "Ir"],
  "frac_coords": [[0.052, 0.619, 0.842], [0.204, 0.276, 0.743], [0.276, 0.204, 0.243], [0.381, 0.948, 0.658], [0.619, 0.052, 0.342], [0.724, 0.796, 0.757], [0.796, 0.724, 0.257], [0.948, 0.381, 0.158], [0.377, 0.623, 0.250], [0.623, 0.377, 0.750], [0.086, 0.914, 0.750], [0.914, 0.086, 0.250]]
}